# 1
This record from the Alexandria database describes a geometry-optimized NbSnPd2 structure. The functional is PBE.

Properties
The energy of formation from the pure elements is -277 meV/atom. As for the symmetry: P4/mmm, No. 123. The density of states at the Fermi level is 0.67 states/eV/atom. The density is 10.0 g/cm³.

```
NbSnPd2
1.0
-0.481 1.717 2.427
-1.951 -2.038 1.055
5.801 -3.630 3.718
Nb Sn Pd
1 1 2
Cartesian
1.685 -1.975 3.600 Nb
-1.216 -0.160 1.741 Sn
4.306 -2.694 2.759 Pd
1.495 -0.936 0.958 Pd
```

***

# 2
This record from the Alexandria database describes a geometry-optimized Y3TaZn structure. The functional is PBE.

Properties
The energy of formation from the pure elements is 727 meV/atom. As for the symmetry: Pm-3m, No. 221. The density of states at the Fermi level is 0.96 states/eV/atom. The density is 5.2 g/cm³.

```
Y3TaZn
1.0
-4.450 -3.004 -1.042
3.064 -3.573 -2.785
0.849 -2.850 4.590
Y Zn Ta
3 1 1
Cartesian
1.532 -1.786 -1.393 Y
0.425 -1.425 2.295 Y
-2.225 -1.502 -0.521 Y
-0.268 -4.713 0.382 Zn
0.000 0.000 0.000 Ta
```

***

# 3
This record from the Alexandria database describes a geometry-optimized TlCrSe2N structure. The functional is PBE.

Properties
As for the symmetry: P4/mmm, No. 123. The value obtained for the total energy is -27.11 eV for the cell shown. The density of states at the Fermi level is 0.78 states/eV/atom. The density is 7.4 g/cm³.

```
TlCrSe2N
1.0
-4.952 -0.608 1.439
1.551 -1.349 4.769
-0.128 3.435 1.013
Cr Tl Se N
1 1 2 1
Cartesian
0.000 0.000 0.000 Cr
-1.764 0.739 3.610 Tl
0.775 -0.674 2.384 Se
-2.476 -0.304 0.719 Se
-0.064 1.717 0.507 N
```